This record from Alexandria describes an optimized crystal structure of Cu3Ag. The functional is PBEsol.

**Formation energy**: 0.0951 eV per atom
**Density of states at the Fermi level**: 1.309 states/eV/f.u.
**Space-group type**: No. 62

Lattice parameters (Å, degrees): 4.5502 5.2666 8.4884 90.00 90.00 90.00
Atoms (fractional coordinates):
Cu 0.7346 0.8690 0.0047
Cu 0.4197 0.8725 0.2500
Cu 0.2346 0.6310 0.0047
Cu 0.7654 0.3690 0.9953
Cu 0.9197 0.6275 0.2500
Cu 0.2654 0.1310 0.9953
Cu 0.2346 0.6310 0.4953
Cu 0.0803 0.3725 0.7500
Cu 0.7654 0.3690 0.5047
Cu 0.2654 0.1310 0.5047
Cu 0.5803 0.1275 0.7500
Cu 0.7346 0.8690 0.4953
Ag 0.0733 0.8851 0.7500
Ag 0.5733 0.6149 0.7500
Ag 0.4267 0.3851 0.2500
Ag 0.9267 0.1149 0.2500